Entry 1:
10
Lattice="6.699 0.000 0.000 0.000 6.023 0.000 0.000 0.000 5.510" Properties=species:S:1:pos:R:3 comment="NpBrF3, optimized geometry, DFT PBE-GGA" total_energy_ev_per_atom=-6.893 total_magnetization_mub_per_fu=3.00 pbc="T T T"
Np 0.000 0.028 0.000
Np 3.350 5.995 2.755
Br 0.000 3.772 1.445
Br 3.350 2.251 4.200
F 0.000 1.682 4.347
F 1.668 0.679 1.410
F 1.682 5.344 4.165
F 3.350 4.342 1.592
F 5.017 5.344 4.165
F 5.032 0.679 1.410

Entry 2:
16
Lattice="7.231 0.000 0.000 0.000 7.231 0.000 0.000 0.000 7.231" Properties=species:S:1:pos:R:3 comment="NdYCuAu, optimized geometry, DFT PBE-GGA" total_energy_ev_per_atom=-5.135 total_magnetization_mub_per_fu=0.00 pbc="T T T"
Nd 0.000 0.000 0.000
Nd 0.000 3.615 3.615
Nd 3.615 0.000 3.615
Nd 3.615 3.615 0.000
Y 0.000 0.000 3.615
Y 0.000 3.615 0.000
Y 3.615 0.000 0.000
Y 3.615 3.615 3.615
Cu 1.808 1.808 5.423
Cu 1.808 5.423 1.808
Cu 5.423 1.808 1.808
Cu 5.423 5.423 5.423
Au 1.808 1.808 1.808
Au 1.808 5.423 5.423
Au 5.423 1.808 5.423
Au 5.423 5.423 1.808

Entry 3:
14
Lattice="8.169 0.000 0.000 0.000 3.818 0.000 -2.485 0.000 7.835" Properties=species:S:1:pos:R:3 comment="LiBe3As3, optimized geometry, DFT PBE-GGA" total_energy_ev_per_atom=-4.033 total_magnetization_mub_per_fu=0.00 pbc="T T T"
Li 0.879 0.954 3.126
Li 4.805 2.863 4.708
Be 0.878 0.954 0.034
Be -0.604 2.863 4.700
Be 2.869 2.863 3.003
Be 2.816 0.954 4.832
Be 6.288 0.954 3.135
Be 4.806 2.863 7.800
As -1.344 0.954 5.630
As 1.221 2.863 1.175
As 1.614 2.863 4.987
As 4.070 0.954 2.848
As 4.464 0.954 6.659
As 7.029 2.863 2.204

Entry 4:
9
Lattice="8.302 0.000 0.000 0.000 2.290 3.961 0.000 -2.290 3.961" Properties=species:S:1:pos:R:3 comment="In2Pd5Pt2, optimized geometry, DFT PBE-GGA" total_energy_ev_per_atom=-5.127 total_magnetization_mub_per_fu=0.00 pbc="T T T"
In 0.000 0.000 0.000
In 4.151 0.000 2.645
Pd 0.000 0.000 5.280
Pd 1.413 0.000 2.644
Pd 2.721 0.000 0.005
Pd 5.582 0.000 0.005
Pd 6.890 0.000 2.644
Pt 2.733 0.000 5.287
Pt 5.570 0.000 5.287

Entry 5:
14
Lattice="2.983 0.000 0.000 0.000 4.314 0.000 0.000 0.000 20.275" Properties=species:S:1:pos:R:3 comment="Li2CeGa4, optimized geometry, DFT PBE-GGA" total_energy_ev_per_atom=-3.491 total_magnetization_mub_per_fu=1.07 pbc="T T T"
Li 0.000 0.000 4.223
Li 0.000 0.000 16.052
Li 1.491 2.157 5.915
Li 1.491 2.157 14.360
Ce 0.000 2.157 0.000
Ce 1.491 0.000 10.137
Ga 0.000 0.000 6.981
Ga 0.000 0.000 13.294
Ga 0.000 2.157 8.417
Ga 0.000 2.157 11.858
Ga 1.491 0.000 1.721
Ga 1.491 0.000 18.554
Ga 1.491 2.157 3.157
Ga 1.491 2.157 17.118

Entry 6:
88
Lattice="9.183 0.000 0.000 0.000 5.672 0.000 -0.061 0.000 16.182" Properties=species:S:1:pos:R:3 comment="Sr3CaAl8H24C8O44, optimized geometry, DFT PBE-GGA" total_energy_ev_per_atom=-6.481 total_magnetization_mub_per_fu=0.16 pbc="T T T"
Sr 0.000 0.000 0.000
Sr 0.375 2.836 13.377
Sr 4.596 2.836 5.324
Ca 4.972 0.000 8.119
Al 1.792 1.408 3.421
Al 1.792 4.264 3.421
Al 3.186 1.408 11.431
Al 3.186 4.264 11.431
Al 6.390 1.427 1.955
Al 6.390 4.245 1.955
Al 7.742 1.426 9.973
Al 7.742 4.246 9.973
H 0.083 0.000 4.592
H 0.295 2.836 8.819
H 0.520 2.836 5.012
H 1.206 2.836 10.597
H 1.382 0.000 10.202
H 1.665 2.058 7.143
H 1.665 3.614 7.143
H 3.268 2.053 15.301
H 3.268 3.620 15.301
H 3.604 0.000 2.206
H 3.763 2.836 2.583
H 4.420 2.836 13.039
H 4.666 2.836 0.798
H 4.899 0.000 12.613
H 5.121 0.000 0.373
H 5.764 0.000 10.791
H 5.948 2.836 11.207
H 6.218 0.783 14.293
H 6.218 4.889 14.293
H 7.931 0.780 6.240
H 7.931 4.892 6.240
H 8.191 2.836 3.177
H 8.363 0.000 2.778
H 8.981 0.000 8.378
C 0.964 2.836 0.993
C 2.446 0.000 13.899
C 2.578 0.000 5.885
C 4.069 2.836 9.022
C 5.589 0.000 4.398
C 7.057 2.836 7.509
C 7.041 2.836 15.661
C 8.574 0.000 12.397
O 0.529 0.000 3.693
O 0.595 2.836 15.927
O 0.654 2.836 4.043
O 1.107 1.703 1.619
O 1.107 3.969 1.619
O 1.095 2.836 7.331
O 1.967 2.836 11.253
O 2.167 0.000 10.795
O 2.277 0.000 15.158
O 2.445 1.140 5.244
O 2.445 4.532 5.244
O 2.529 1.140 13.249
O 2.529 4.532 13.249
O 2.820 0.000 2.801
O 2.832 0.000 7.131
O 3.010 2.836 3.252
O 3.834 2.836 15.479
O 3.921 1.698 9.642
O 3.921 3.974 9.642
O 4.317 2.836 12.067
O 4.385 2.836 7.783
O 4.446 0.000 11.717
O 5.120 2.836 1.692
O 5.242 0.000 1.343
O 5.300 0.000 5.651
O 5.654 0.000 14.106
O 5.721 1.130 3.762
O 5.721 4.542 3.762
O 6.502 0.000 10.104
O 6.724 2.836 10.602
O 6.980 2.836 6.242
O 7.014 1.695 0.127
O 7.014 3.977 0.127
O 7.095 1.694 8.159
O 7.095 3.978 8.159
O 7.219 2.836 14.402
O 7.421 2.836 2.564
O 7.614 0.000 2.106
O 8.423 1.131 11.772
O 8.423 4.541 11.772
O 8.513 0.000 6.097
O 8.884 0.000 9.353
O 8.896 0.000 13.640
O 9.011 2.836 9.705

Entry 7:
6
Lattice="3.701 0.000 0.000 0.000 5.351 0.000 0.000 0.000 11.283" Properties=species:S:1:pos:R:3 comment="CaLa4Nd, optimized geometry, DFT PBE-GGA" total_energy_ev_per_atom=-4.377 total_magnetization_mub_per_fu=0.00 pbc="T T T"
Ca 0.000 0.000 0.000
La 0.000 0.000 3.772
La 0.000 0.000 7.511
La 1.851 2.676 2.074
La 1.851 2.676 9.209
Nd 1.851 2.676 5.642

Entry 8:
8
Lattice="4.121 0.000 0.000 0.000 4.121 0.000 0.000 0.000 8.724" Properties=species:S:1:pos:R:3 comment="Zn2CrPb, optimized geometry, DFT PBE-GGA" total_energy_ev_per_atom=-3.620 total_magnetization_mub_per_fu=3.44 pbc="T T T"
Zn 0.000 2.061 2.181
Zn 0.000 2.061 6.543
Zn 2.061 0.000 2.181
Zn 2.061 0.000 6.543
Cr 0.000 0.000 0.000
Cr 2.061 2.061 4.362
Pb 0.000 0.000 4.362
Pb 2.061 2.061 0.000

Entry 9:
10
Lattice="7.172 0.000 0.000 0.000 7.172 0.000 0.000 0.000 2.705" Properties=species:S:1:pos:R:3 comment="Mn2NbOs2, optimized geometry, DFT PBE-GGA" total_energy_ev_per_atom=-10.162 total_magnetization_mub_per_fu=0.00 pbc="T T T"
Mn 0.859 2.727 0.000
Mn 2.727 6.313 0.000
Mn 4.445 0.859 0.000
Mn 6.313 4.445 0.000
Nb 0.000 0.000 0.000
Nb 3.586 3.586 0.000
Os 1.237 4.823 1.352
Os 2.349 1.237 1.352
Os 4.823 5.935 1.352
Os 5.935 2.349 1.352

Entry 10:
18
Lattice="4.171 2.408 6.039 -4.171 2.408 6.039 0.000 -4.816 6.039" Properties=species:S:1:pos:R:3 comment="Nd2DySi3Pt12, optimized geometry, DFT PBE-GGA" total_energy_ev_per_atom=-6.267 total_magnetization_mub_per_fu=0.00 pbc="T T T"
Nd 0.000 0.000 1.794
Nd 0.000 0.000 16.325
Dy 0.000 0.000 9.059
Si -2.086 -1.204 6.039
Si -2.086 1.204 12.079
Si 0.000 2.408 6.039
Pt -2.274 -1.313 8.391
Pt 0.000 -2.164 5.447
Pt -1.874 1.082 5.447
Pt 0.000 -2.626 9.727
Pt -2.274 1.313 9.727
Pt -1.874 -1.082 12.671
Pt 1.874 1.082 5.447
Pt 2.274 -1.313 8.391
Pt 0.000 2.626 8.391
Pt 1.874 -1.082 12.671
Pt 0.000 2.164 12.671
Pt 2.274 1.313 9.727

Entry 11:
5
Lattice="6.099 0.000 0.000 0.000 6.099 0.000 0.000 0.000 5.565" Properties=species:S:1:pos:R:3 comment="LaTl2AgPb, optimized geometry, DFT PBE-GGA" total_energy_ev_per_atom=-2.595 total_magnetization_mub_per_fu=0.00 pbc="T T T"
La 0.000 0.000 0.000
Tl 0.000 3.050 0.000
Tl 3.050 0.000 0.000
Ag 0.000 0.000 2.783
Pb 3.050 3.050 2.783

Entry 12:
13
Lattice="7.720 -1.702 0.000 7.720 1.702 0.000 -4.294 0.000 12.987" Properties=species:S:1:pos:R:3 comment="In4GaHg8, optimized geometry, DFT PBE-GGA" total_energy_ev_per_atom=-1.242 total_magnetization_mub_per_fu=0.00 pbc="T T T"
In 0.246 0.000 5.939
In 4.695 0.000 2.008
In 6.450 0.000 10.979
In 10.899 0.000 7.047
Ga 0.000 0.000 0.000
Hg -0.341 0.000 2.851
Hg 1.057 0.000 8.983
Hg 1.188 0.000 12.067
Hg 5.182 0.000 4.994
Hg 5.963 0.000 7.993
Hg 9.957 0.000 0.920
Hg 10.088 0.000 4.004
Hg 11.486 0.000 10.135